No. 1
Computed, not measured: a PBEsol-optimized structure of ZnMo2Pb at the meta-GGA SCAN level of DFT.

Lattice parameters (Å, degrees): 3.391 3.391 6.018 90.00 90.00 90.00
Fractional coordinates of all 4 atoms:
Zn 0.500 0.500 0.500
Mo 0.000 0.000 0.697
Mo 0.000 0.000 0.303
Pb 0.500 0.500 0.000

Results
- space group = P4/mmm (123)
- energy relative to the lowest polymorph listed for this composition (meV/atom) = 179
- ΔE_f (eV/atom) = 0.59
- size of the total moment (μB per formula unit) = 0.000

No. 2
Computed, not measured: a PBEsol-optimized structure of ZrMoPb2 at the meta-GGA SCAN level of DFT.

Lattice parameters (Å, degrees): 3.472 4.959 5.657 111.41 107.87 90.00
Fractional coordinates of all 4 atoms:
Mo 0.235 0.768 0.470
Zr 0.524 0.495 0.048
Pb 0.983 0.954 0.966
Pb 0.758 0.283 0.516

Results
- space group = Cm (8)
- energy relative to the lowest polymorph listed for this composition (meV/atom) = 0
- ΔE_f (eV/atom) = 0.27
- size of the total moment (μB per formula unit) = 0.000

No. 3
Computed, not measured: a PBEsol-optimized structure of Zr2MoPb at the meta-GGA SCAN level of DFT.

Lattice parameters (Å, degrees): 3.104 3.104 9.406 90.00 90.00 113.00
Fractional coordinates of all 4 atoms:
Mo 0.000 0.000 0.509
Pb 0.500 0.500 0.267
Zr 0.000 0.000 0.997
Zr 0.500 0.500 0.727

Results
- space group = Cmm2 (35)
- ΔE_f (eV/atom) = 0.22
- size of the total moment (μB per formula unit) = 0.000

No. 4
Computed, not measured: a PBEsol-optimized structure of ZrMoPb2 at the meta-GGA SCAN level of DFT.

Lattice parameters (Å, degrees): 3.421 3.421 7.067 90.00 90.00 90.00
Fractional coordinates of all 4 atoms:
Pb 0.000 0.000 0.272
Pb 0.000 0.000 0.728
Zr 0.500 0.500 0.000
Mo 0.500 0.500 0.500

Results
- space group = P4/mmm (123)
- energy relative to the lowest polymorph listed for this composition (meV/atom) = 29
- ΔE_f (eV/atom) = 0.30
- size of the total moment (μB per formula unit) = 0.000